1.
# TbTlZnSe3

A relaxed structure of TbTlZnSe3 (PBE, the Open Quantum Materials Database).

abc: 4.269 11.671 12.586
angles: 90.00 90.00 90.00
Fractional positions:
Se: 0.250 0.401 0.937
Se: 0.250 0.722 0.306
Se: 0.250 0.222 0.194
Se: 0.750 0.599 0.063
Se: 0.750 0.278 0.694
Se: 0.250 0.901 0.563
Se: 0.250 0.043 0.833
Se: 0.750 0.778 0.806
Se: 0.750 0.957 0.167
Se: 0.750 0.457 0.333
Se: 0.750 0.099 0.437
Se: 0.250 0.543 0.667
Tb: 0.250 0.977 0.324
Tb: 0.750 0.523 0.824
Tb: 0.250 0.477 0.176
Tb: 0.750 0.023 0.676
Tl: 0.750 0.170 0.001
Tl: 0.250 0.830 0.999
Tl: 0.250 0.330 0.501
Tl: 0.750 0.670 0.499
Zn: 0.750 0.750 0.201
Zn: 0.750 0.250 0.299
Zn: 0.250 0.750 0.701
Zn: 0.250 0.250 0.799

Output
Relative energy among the computed polymorphs ... 57 meV/atom
Calculated volume ... 627 Å³ per cell
Total energy ... -4.201 eV/atom


2.
# NpBAs

A relaxed structure of NpBAs (PBE, the Open Quantum Materials Database).

abc: 4.360 4.360 4.360
angles: 60.00 60.00 60.00
Fractional positions:
B: 0.250 0.250 0.250
As: 0.000 0.000 0.000
Np: 0.750 0.750 0.750

Output
Relative energy among the computed polymorphs ... 675 meV/atom
Calculated volume ... 59 Å³ per cell
Total energy ... -7.177 eV/atom


3.
# GdHgB

A relaxed structure of GdHgB (PBE, the Open Quantum Materials Database).

abc: 4.653 4.653 4.653
angles: 60.00 60.00 60.00
Fractional positions:
B: 0.250 0.250 0.250
Hg: 0.750 0.750 0.750
Gd: 0.000 0.000 0.000

Output
Relative energy among the computed polymorphs ... 792 meV/atom
Calculated volume ... 71 Å³ per cell
Total energy ... -3.126 eV/atom


4.
# LuCdIr2

A relaxed structure of LuCdIr2 (PBE, the Open Quantum Materials Database).

abc: 5.168 5.168 5.168
angles: 60.00 60.00 60.00
Last column: magnetic moment on the atom in μB.
Fractional positions:
Ir: 0.000 0.000 0.000  0.56
Ir: 0.750 0.750 0.750  0.47
Lu: 0.250 0.250 0.250  -0.04
Cd: 0.500 0.500 0.500  -0.01

Output
Relative energy among the computed polymorphs ... 0 meV/atom
Calculated volume ... 98 Å³ per cell
Calculated formation energy ... 0.4724 eV/atom
Total energy ... -5.310 eV/atom